Here is a relaxed Ta2AlB crystal from Alexandria via LeMat-Bulk. Energies are from PBE-GGA.

```
Ta2AlB
1.0
-3.346 3.346 2.725
3.346 -3.346 2.725
3.346 3.346 -2.725
Ta Al B
4 2 2
direct
0.082 0.625 0.957
0.375 0.332 0.457
0.668 0.125 0.043
0.875 0.918 0.543
0.250 0.750 0.500
0.500 0.500 0.000
0.000 0.000 0.000
0.750 0.250 0.500
```

DFT total energy	-67.111	eV per cell
DFT formation energy	0.142	eV per atom
excess energy over the best structure of this formula in the dataset	520	meV/atom

***

Here is a relaxed Ac4CoCI2 crystal from Alexandria via LeMat-Bulk. Energies are from PBE-GGA.

```
Ac4CoCI2
1.0
7.425 0.000 0.000
0.000 4.142 0.000
-2.379 0.000 8.477
Ac Co C I
4 1 1 2
direct
0.213 0.000 0.177
0.267 0.500 0.824
0.733 0.500 0.176
0.787 0.000 0.823
0.500 0.000 0.000
0.000 0.500 0.000
0.000 0.000 0.500
0.500 0.500 0.500
```

DFT total energy	-40.145	eV per cell
raw formation energy	-4.28	eV per formula unit